1.
# Rb2V3O8 GGA-PBEsol relaxed
# energy relative to the elements, uncorrected: -30.8 eV per formula unit
# DFT total energy: -207.42 eV/cell
data_Rb2V3O8
_symmetry_space_group_name_H-M 'P 4 b m'
_symmetry_Int_Tables_number 100
_symmetry_space_group_name_Hall 'P 4 -2ab'
_cell_length_a 8.855
_cell_length_b 8.855
_cell_length_c 5.595
_cell_angle_alpha 90.00
_cell_angle_beta 90.00
_cell_angle_gamma 90.00
loop_
_atom_site_label
_atom_site_type_symbol
_atom_site_fract_x
_atom_site_fract_y
_atom_site_fract_z
Rb1 Rb 0.168 0.332 0.000
V1 V 0.000 0.000 0.542
V2 V 0.134 0.634 0.527
O1 O 0.000 0.000 0.255
O2 O 0.000 0.500 0.641
O3 O 0.083 0.809 0.638
O4 O 0.132 0.632 0.234

=====

2.
# ReW3 GGA-PBEsol relaxed
# N(E_F): 0.699 states/eV per atom
# polymorph energy (0 for the lowest one): 0.025 eV per atom
# E_form: 57 meV/atom
# DFT total energy: -109.05 eV/cell
data_ReW3
_symmetry_space_group_name_H-M 'C 1 2/m 1'
_symmetry_Int_Tables_number 12
_symmetry_space_group_name_Hall '-C 2y'
_cell_length_a 5.431
_cell_length_b 8.852
_cell_length_c 2.721
_cell_angle_alpha 90.00
_cell_angle_beta 109.65
_cell_angle_gamma 90.00
loop_
_atom_site_label
_atom_site_type_symbol
_atom_site_fract_x
_atom_site_fract_y
_atom_site_fract_z
Re1 Re 0.000 0.000 0.000
W1 W 0.000 0.500 0.000
W2 W 0.250 0.250 0.500

=====

- Which of these has the highest DFT total energy?
  ReW3